Entry from Alexandria: a crystal of Mg2AlRh relaxed with PBEsol (meta-GGA SCAN).

Summary:
Formation energy from the elements   -1.93 eV per formula unit
Total moment   0.00 Bohr magnetons per cell
Crystal system   tetragonal

abc: 4.0508 4.0508 7.7411
angles: 90.00 90.00 90.00
Closest atoms and distances in Å follow each position.
Space group I-4m2 (No. 119)
Asymmetric unit:
Mg: 0.0000 0.0000 0.0000 [2 per cell]  4 Al 2.80, 4 Mg 2.80, 4 Rh 2.86
Mg: 0.0000 0.5000 0.2500 [2 per cell]  4 Rh 2.80, 4 Mg 2.80, 4 Al 2.86
Al: 0.0000 0.5000 0.7500 [2 per cell]  8 Mg 2.80-2.86, 4 Rh 2.80
Rh: 0.0000 0.0000 0.5000 [2 per cell]  8 Mg 2.80-2.86, 4 Al 2.80



Entry from Alexandria: a crystal of IrPb2I2 relaxed with PBEsol (meta-GGA SCAN).

Summary:
ΔE_f (raw)   109 kJ/mol of atoms
Total moment   2.49 Bohr magnetons per cell
Crystal system   tetragonal

abc: 4.8767 4.8767 14.2084
angles: 90.00 90.00 90.00
Closest atoms and distances in Å follow each position.
Space group I4/mmm (No. 139)
Asymmetric unit:
Ir: 0.0000 0.0000 0.0000 [2 per cell]  8 Pb 3.77
Pb: 0.0000 0.0000 0.3929 [4 per cell]  1 Pb 3.04, 4 I 3.17
I: 0.0000 0.5000 0.2500 [4 per cell]  4 Pb 3.17, 4 I 3.45



Entry from Alexandria: a crystal of CoPSe2 relaxed with PBEsol (meta-GGA SCAN).

Summary:
ΔE_f (raw)   21 kJ/mol of atoms
Total moment   0.65 Bohr magnetons per cell
Crystal system   tetragonal

abc: 2.6761 2.6761 9.7000
angles: 90.00 90.00 90.00
Closest atoms and distances in Å follow each position.
Space group P4mm (No. 99)
Asymmetric unit:
Co: 0.0000 0.0000 0.0000 [1 per cell]  4 P 2.33, 4 Se 2.61
P: 0.5000 0.5000 0.1406 [1 per cell]  4 Co 2.33
Se: 0.0000 0.0000 0.4760 [1 per cell]  4 Se 2.68
Se: 0.5000 0.5000 0.8144 [1 per cell]  4 Co 2.61, 4 Se 2.68



Entry from Alexandria: a crystal of BaY2Mn relaxed with PBEsol (meta-GGA SCAN).

Summary:
Formation energy from the elements   1.59 eV per formula unit
Total moment   7.40 Bohr magnetons per cell
Crystal system   orthorhombic

abc: 6.9417 9.0394 3.6787
angles: 90.00 90.00 90.00
Closest atoms and distances in Å follow each position.
Space group Cmmm (No. 65)
Asymmetric unit:
Ba: 0.0000 0.0000 0.0000 [2 per cell]  8 Y 3.39, 2 Mn 3.47, 2 Ba 3.68
Y: 0.2500 0.2500 0.5000 [4 per cell]  4 Ba 3.39, 4 Mn 3.39, 4 Y 3.47-3.68
Mn: 0.0000 0.5000 0.0000 [2 per cell]  8 Y 3.39, 2 Ba 3.47, 2 Mn 3.68



- Which value of total moment does entry 2 give?
  2.49 Bohr magnetons per cell